[1]
# SnAsHOs | Alexandria via LeMat-Bulk | PBE | optimized geometry
# - M_tot: 0.0 Bohr magnetons per cell
# - Total energy: -45.1 eV for the cell shown
# - Theoretical density: 9.45 g/cm3
# - Crystal system: monoclinic
data_SnAsHOs
_chemical_formula_sum 'Sn2 As2 H2 Os2'
_cell_length_a 6.9698
_cell_length_b 4.5511
_cell_length_c 5.0255
_cell_angle_alpha 90.00
_cell_angle_beta 121.91
_cell_angle_gamma 90.00
_symmetry_space_group_name_H-M 'C 1 m 1'
_symmetry_Int_Tables_number 8
loop_
_symmetry_equiv_pos_as_xyz
'x,y,z'
'x,-y,z'
'x+1/2,y+1/2,z'
'x+1/2,-y+1/2,z'
loop_
_atom_site_label
_atom_site_type_symbol
_atom_site_fract_x
_atom_site_fract_y
_atom_site_fract_z
_atom_site_occupancy
Sn1 Sn 0.0000 0.0000 0.0000 1
As1 As 0.4694 0.0000 0.4001 1
H1 H 0.0972 0.0000 0.5532 1
Os1 Os 0.3209 0.5000 0.3749 1

[2]
# SnAsHOs | Alexandria via LeMat-Bulk | PBE | optimized geometry
# - M_tot: 0.0 Bohr magnetons per cell
# - Total energy: -44.3 eV for the cell shown
# - Theoretical density: 8.98 g/cm3
# - Crystal system: monoclinic
data_SnAsHOs
_chemical_formula_sum 'Sn2 As2 H2 Os2'
_cell_length_a 5.1089
_cell_length_b 3.8118
_cell_length_c 7.6524
_cell_angle_alpha 90.00
_cell_angle_beta 107.14
_cell_angle_gamma 90.00
_symmetry_space_group_name_H-M 'C 1 m 1'
_symmetry_Int_Tables_number 8
loop_
_symmetry_equiv_pos_as_xyz
'x,y,z'
'x,-y,z'
'x+1/2,y+1/2,z'
'x+1/2,-y+1/2,z'
loop_
_atom_site_label
_atom_site_type_symbol
_atom_site_fract_x
_atom_site_fract_y
_atom_site_fract_z
_atom_site_occupancy
Sn1 Sn 0.0000 0.0000 0.0000 1
As1 As 0.2813 0.5000 0.5329 1
H1 H 0.0841 0.0000 0.2384 1
Os1 Os 0.0080 0.5000 0.7485 1

[3]
# SnAsHOs | Alexandria via LeMat-Bulk | PBE | optimized geometry
# - M_tot: 0.0 Bohr magnetons per cell
# - Total energy: -44.2 eV for the cell shown
# - Theoretical density: 8.08 g/cm3
# - Crystal system: monoclinic
data_SnAsHOs
_chemical_formula_sum 'Sn2 As2 H2 Os2'
_cell_length_a 8.7002
_cell_length_b 3.2064
_cell_length_c 5.7750
_cell_angle_alpha 90.00
_cell_angle_beta 100.83
_cell_angle_gamma 90.00
_symmetry_space_group_name_H-M 'C 1 m 1'
_symmetry_Int_Tables_number 8
loop_
_symmetry_equiv_pos_as_xyz
'x,y,z'
'x,-y,z'
'x+1/2,y+1/2,z'
'x+1/2,-y+1/2,z'
loop_
_atom_site_label
_atom_site_type_symbol
_atom_site_fract_x
_atom_site_fract_y
_atom_site_fract_z
_atom_site_occupancy
Sn1 Sn 0.0000 0.0000 0.0000 1
As1 As 0.0863 0.0000 0.4987 1
H1 H 0.3320 0.5000 0.6197 1
Os1 Os 0.1941 0.5000 0.7836 1

[4]
# SnAsHOs | Alexandria via LeMat-Bulk | PBE | optimized geometry
# - M_tot: 0.0 Bohr magnetons per cell
# - Total energy: -22.5 eV for the cell shown
# - Theoretical density: 8.27 g/cm3
# - Crystal system: triclinic
data_SnAsHOs
_chemical_formula_sum 'Sn1 As1 H1 Os1'
_cell_length_a 3.2152
_cell_length_b 4.9897
_cell_length_c 5.7254
_cell_angle_alpha 64.26
_cell_angle_beta 73.78
_cell_angle_gamma 71.26
_symmetry_space_group_name_H-M 'P 1'
_symmetry_Int_Tables_number 1
loop_
_symmetry_equiv_pos_as_xyz
'x,y,z'
loop_
_atom_site_label
_atom_site_type_symbol
_atom_site_fract_x
_atom_site_fract_y
_atom_site_fract_z
_atom_site_occupancy
Sn1 Sn 0.0000 0.0000 0.0000 1
As1 As 0.1216 0.3036 0.4536 1
H1 H 0.7895 0.6337 0.7830 1
Os1 Os 0.6922 0.5029 0.1116 1

[5]
# SnAsHOs | Alexandria via LeMat-Bulk | PBE | optimized geometry
# - M_tot: 0.0 Bohr magnetons per cell
# - Total energy: -22.4 eV for the cell shown
# - Theoretical density: 10.00 g/cm3
# - Crystal system: orthorhombic
data_SnAsHOs
_chemical_formula_sum 'Sn1 As1 H1 Os1'
_cell_length_a 3.1678
_cell_length_b 3.5639
_cell_length_c 5.6632
_cell_angle_alpha 90.00
_cell_angle_beta 90.00
_cell_angle_gamma 90.00
_symmetry_space_group_name_H-M 'P m m 2'
_symmetry_Int_Tables_number 25
loop_
_symmetry_equiv_pos_as_xyz
'x,y,z'
'-x,-y,z'
'-x,y,z'
'x,-y,z'
loop_
_atom_site_label
_atom_site_type_symbol
_atom_site_fract_x
_atom_site_fract_y
_atom_site_fract_z
_atom_site_occupancy
Sn1 Sn 0.0000 0.0000 0.0000 1
As1 As 0.0000 0.5000 0.3926 1
H1 H 0.5000 0.0000 0.6313 1
Os1 Os 0.5000 0.5000 0.7197 1

[6]
# SnAsHOs | Alexandria via LeMat-Bulk | PBE | optimized geometry
# - M_tot: 0.0 Bohr magnetons per cell
# - Total energy: -45.4 eV for the cell shown
# - Theoretical density: 10.02 g/cm3
# - Crystal system: orthorhombic
data_SnAsHOs
_chemical_formula_sum 'Sn2 As2 H2 Os2'
_cell_length_a 3.0421
_cell_length_b 3.0924
_cell_length_c 13.5581
_cell_angle_alpha 90.00
_cell_angle_beta 90.00
_cell_angle_gamma 90.00
_symmetry_space_group_name_H-M 'A m m 2'
_symmetry_Int_Tables_number 38
loop_
_symmetry_equiv_pos_as_xyz
'x,y,z'
'-x,-y,z'
'-x,y,z'
'x,-y,z'
'x,y+1/2,z+1/2'
'-x,-y+1/2,z+1/2'
'-x,y+1/2,z+1/2'
'x,-y+1/2,z+1/2'
loop_
_atom_site_label
_atom_site_type_symbol
_atom_site_fract_x
_atom_site_fract_y
_atom_site_fract_z
_atom_site_occupancy
Sn1 Sn 0.0000 0.0000 0.0000 1
As1 As 0.5000 0.0000 0.2872 1
H1 H 0.5000 0.0000 0.6140 1
Os1 Os 0.0000 0.0000 0.6833 1

[7]
# SnAsHOs | Alexandria via LeMat-Bulk | PBE | optimized geometry
# - M_tot: 0.0 Bohr magnetons per cell
# - Total energy: -45.1 eV for the cell shown
# - Theoretical density: 9.65 g/cm3
# - Crystal system: monoclinic
data_SnAsHOs
_chemical_formula_sum 'Sn2 As2 H2 Os2'
_cell_length_a 8.7059
_cell_length_b 3.1458
_cell_length_c 6.3612
_cell_angle_alpha 90.00
_cell_angle_beta 130.52
_cell_angle_gamma 90.00
_symmetry_space_group_name_H-M 'C 1 m 1'
_symmetry_Int_Tables_number 8
loop_
_symmetry_equiv_pos_as_xyz
'x,y,z'
'x,-y,z'
'x+1/2,y+1/2,z'
'x+1/2,-y+1/2,z'
loop_
_atom_site_label
_atom_site_type_symbol
_atom_site_fract_x
_atom_site_fract_y
_atom_site_fract_z
_atom_site_occupancy
Sn1 Sn 0.0000 0.0000 0.0000 1
As1 As 0.4654 0.5000 0.4634 1
H1 H 0.3017 0.5000 0.1201 1
Os1 Os 0.2926 0.0000 0.5494 1

[8]
# SnAsHOs | Alexandria via LeMat-Bulk | PBE | optimized geometry
# - M_tot: 0.0 Bohr magnetons per cell
# - Total energy: -22.1 eV for the cell shown
# - Theoretical density: 8.36 g/cm3
# - Crystal system: triclinic
data_SnAsHOs
_chemical_formula_sum 'Sn1 As1 H1 Os1'
_cell_length_a 3.1740
_cell_length_b 3.9802
_cell_length_c 6.8783
_cell_angle_alpha 93.82
_cell_angle_beta 103.31
_cell_angle_gamma 113.36
_symmetry_space_group_name_H-M 'P 1'
_symmetry_Int_Tables_number 1
loop_
_symmetry_equiv_pos_as_xyz
'x,y,z'
loop_
_atom_site_label
_atom_site_type_symbol
_atom_site_fract_x
_atom_site_fract_y
_atom_site_fract_z
_atom_site_occupancy
Sn1 Sn 0.0000 0.0000 0.0000 1
As1 As 0.6834 0.9469 0.4279 1
H1 H 0.8376 0.9590 0.7182 1
Os1 Os 0.8701 0.4908 0.2542 1